No. 1
# ZnTeO2 PBE optimized geometry
data_ZnTeO2
_chemical_formula_sum 'Zn4 Te4 O8'
_symmetry_space_group_name_H-M 'I -4 2 d'
_symmetry_Int_Tables_number 122
_symmetry_space_group_name_Hall 'I -4 2bw'
_cell_length_a 5.385
_cell_length_b 5.385
_cell_length_c 8.493
_cell_angle_alpha 90.00
_cell_angle_beta 90.00
_cell_angle_gamma 90.00
loop_
_atom_site_label
_atom_site_fract_x
_atom_site_fract_y
_atom_site_fract_z
Zn1 0.000 0.000 0.000
Te1 0.000 0.000 0.500
O1 0.188 0.250 0.125
# **ρ**: 6.1 Mg/m³
# **Volume**: 246 Å³ per cell
# **Uncorrected formation energy**: -0.5915 eV per atom
# **Energy relative to the lowest polymorph listed for this composition**: 326 meV per atom

---

No. 2
# Zn2TeO4 PBE optimized geometry
data_Zn2TeO4
_chemical_formula_sum 'Zn4 Te2 O8'
_symmetry_space_group_name_H-M 'C 1 2/m 1'
_symmetry_Int_Tables_number 12
_symmetry_space_group_name_Hall '-C 2y'
_cell_length_a 11.416
_cell_length_b 3.422
_cell_length_c 5.346
_cell_angle_alpha 90.00
_cell_angle_beta 107.03
_cell_angle_gamma 90.00
loop_
_atom_site_label
_atom_site_fract_x
_atom_site_fract_y
_atom_site_fract_z
Zn1 0.161 0.000 0.076
Te1 0.000 0.500 0.500
O1 0.081 0.000 0.346
O2 0.150 0.500 0.870
# **ρ**: 5.4 Mg/m³
# **Volume**: 200 Å³ per cell
# **Uncorrected formation energy**: -1.1320 eV per atom

---

No. 3
# ZnTeO PBE optimized geometry
data_ZnTeO
_chemical_formula_sum 'Zn1 Te1 O1'
_symmetry_space_group_name_H-M 'P 1'
_symmetry_Int_Tables_number 1
_symmetry_space_group_name_Hall 'P 1'
_cell_length_a 3.555
_cell_length_b 4.457
_cell_length_c 4.921
_cell_angle_alpha 112.53
_cell_angle_beta 106.88
_cell_angle_gamma 97.90
loop_
_atom_site_label
_atom_site_fract_x
_atom_site_fract_y
_atom_site_fract_z
Zn1 0.000 0.000 0.000
Te1 0.972 0.641 0.327
O1 0.395 0.946 0.775
# **ρ**: 5.2 Mg/m³
# **Volume**: 66 Å³ per cell
# **Uncorrected formation energy**: -0.5580 eV per atom